Density functional theory data (GGA+U) for a relaxed structure of Rb2NdNi3F12.

Unit cell a=7.223 b=7.223 c=7.223 alpha=62.14 beta=62.14 gamma=62.14
Site moments in Bohr magnetons follow the coordinates.
Atoms (fractional coordinates):
Rb: 0.613 0.613 0.613  0.00
Rb: 0.387 0.387 0.387  0.00
Nd: 0.000 0.000 0.000  0.00
Ni: 0.500 0.000 0.000  1.68
Ni: 0.000 0.500 0.000  1.68
Ni: 0.000 0.000 0.500  1.68
F: 0.282 0.282 0.902  -0.02
F: 0.884 0.884 0.388  0.01
F: 0.388 0.884 0.884  0.01
F: 0.902 0.282 0.282  -0.02
F: 0.884 0.388 0.884  0.01
F: 0.282 0.902 0.282  -0.02
F: 0.718 0.718 0.098  -0.02
F: 0.116 0.116 0.612  0.01
F: 0.612 0.116 0.116  0.01
F: 0.098 0.718 0.718  -0.02
F: 0.116 0.612 0.116  0.01
F: 0.718 0.098 0.718  -0.02

Calculated values
Uncorrected energy   -4.683 eV per atom